Entry 1:
16
Lattice="4.1794 2.4130 6.8131 -4.1794 2.4130 6.8131 0.0000 -4.8260 6.8131" Properties=species:S:1:pos:R:3 comment="Ce5Np3As8 GGA-PBE optimized geometry" e_tot_ev_per_atom=-7.749 n_ef_per_ev_atom=3.14 space_group="No. 166" rho_g_cm3=8.10 pbc="T T T"
Ce 0.0000 0.0000 0.0000
Ce -2.0897 -1.2065 6.8131
Ce -2.0897 1.2065 13.6261
Ce 0.0000 2.4130 6.8131
Ce 0.0000 0.0000 10.2196
Np -4.1794 0.0000 10.2196
Np -2.0897 1.2065 3.4065
Np 2.0897 1.2065 3.4065
As -2.1096 -1.2180 11.8899
As 0.0000 0.0000 5.0576
As 0.0000 -2.4360 8.5493
As -2.1096 1.2180 8.5493
As 2.1096 -1.2180 11.8899
As 0.0000 2.4360 11.8899
As 0.0000 0.0000 15.3817
As 2.1096 1.2180 8.5493

***

Entry 2:
8
Lattice="7.4777 0.0000 0.0000 0.0000 4.3398 0.0000 -2.5363 0.0000 7.6378" Properties=species:S:1:pos:R:3 comment="Nd4SiSeI2 GGA-PBE optimized geometry" n_ef_per_ev_atom=0.45 space_group="No. 10" rho_g_cm3=6.28 formation_energy_uncorrected_kcal_per_mol_atoms=-27.372 pbc="T T T"
Nd 1.1703 0.0000 1.4906
Nd -0.1162 2.1699 6.1588
Nd 5.0576 2.1699 1.4790
Nd 3.7711 0.0000 6.1472
Si 0.0000 2.1699 0.0000
Se 3.7389 0.0000 0.0000
I -1.2682 0.0000 3.8189
I 2.4707 2.1699 3.8189